Density functional theory data (PBE) for a geometry-optimized CrMoAu2 structure.

## Properties
N(E_F)   2.598 states/eV/f.u.
E above lowest polymorph   2 meV per atom
Formation energy from the elements   0.24 eV per atom
Raw total energy   -26.05 eV/cell

Cell lengths 3.1848, 3.1848, 6.4305 Å; angles 90.00, 90.00, 90.00 degrees
Last column: nearest neighbours and their distance in Å.
Fractional positions:
Au: 0.5000 0.5000 0.2690  4 Cr 2.81, 1 Mo 2.84, 4 Au 2.88
Au: 0.0000 0.0000 0.9890  4 Mo 2.88, 8 Au 2.88-3.18, 1 Cr 2.94
Cr: 0.0000 0.0000 0.5314  4 Mo 2.53, 4 Au 2.81
Mo: 0.5000 0.5000 0.7106  4 Cr 2.53

***

Density functional theory data (PBE) for a geometry-optimized Cr2MoAu structure.

## Properties
N(E_F)   1.055 states/eV/f.u.
E above lowest polymorph   52 meV per atom
Formation energy from the elements   0.28 eV per atom
Raw total energy   -32.24 eV/cell

Cell lengths 4.4021, 4.4021, 4.4021 Å; angles 60.00, 60.00, 60.00 degrees
Last column: nearest neighbours and their distance in Å.
Fractional positions:
Au: 0.5000 0.5000 0.5000  8 Cr 2.70
Cr: 0.2500 0.2500 0.2500  4 Mo 2.70, 4 Au 2.70
Cr: 0.7500 0.7500 0.7500  4 Mo 2.70, 4 Au 2.70
Mo: 0.0000 0.0000 0.0000  8 Cr 2.70

***

Density functional theory data (PBE) for a geometry-optimized Cr2MoAu structure.

## Properties
N(E_F)   4.143 states/eV/f.u.
E above lowest polymorph   166 meV per atom
Formation energy from the elements   0.39 eV per atom
Raw total energy   -31.78 eV/cell

Cell lengths 8.8319, 8.8319, 8.8319 Å; angles 18.18, 18.18, 18.18 degrees
Last column: nearest neighbours and their distance in Å.
Fractional positions:
Cr: 0.9889 0.9889 0.9889  3 Cr 2.31
Cr: 0.2588 0.2588 0.2588  3 Cr 2.31
Au: 0.7452 0.7452 0.7452  6 Au 2.79, 3 Cr 2.84, 3 Mo 2.96
Mo: 0.5072 0.5072 0.5072  3 Cr 2.74, 6 Mo 2.79, 3 Au 2.96

***

Density functional theory data (PBE) for a geometry-optimized CrMoAu2 structure.

## Properties
N(E_F)   1.639 states/eV/f.u.
E above lowest polymorph   56 meV per atom
Formation energy from the elements   0.29 eV per atom
Raw total energy   -25.84 eV/cell

Cell lengths 3.9644, 3.9644, 4.1790 Å; angles 90.00, 90.00, 90.00 degrees
Last column: nearest neighbours and their distance in Å.
Fractional positions:
Au: 0.5000 0.5000 0.0000  4 Au 2.80, 4 Cr 2.88, 4 Mo 2.88
Au: 0.0000 0.0000 0.0000  4 Au 2.80, 4 Cr 2.88, 4 Mo 2.88
Mo: 0.0000 0.5000 0.5000  4 Cr 2.80, 8 Au 2.88
Cr: 0.5000 0.0000 0.5000  4 Mo 2.80, 8 Au 2.88